Entry 1:
Dy2Tm3Hg3 | PBE | relaxed

a b c (Å): 6.9403 6.9403 5.1223
angles (deg): 90.00 90.00 120.00
With the nearest neighbours (Å) after each atom.
Atoms (fractional coordinates):
1 Dy 0.0000 0.0000 0.0000  6 Tm 3.28, 6 Hg 3.47
2 Dy 0.3333 0.6667 0.5000  6 Hg 3.28, 6 Tm 3.47
3 Hg 0.5038 0.0075 0.0000  4 Tm 3.22, 4 Dy 3.28-3.47, 4 Hg 3.39-3.55
4 Hg 0.5038 0.4962 0.0000  4 Tm 3.22, 4 Dy 3.28-3.47, 4 Hg 3.39-3.55
5 Hg 0.9925 0.4962 0.0000  4 Tm 3.22, 4 Dy 3.28-3.47, 4 Hg 3.39-3.55
6 Tm 0.3418 0.1709 0.5000  4 Hg 3.22, 4 Dy 3.28-3.47, 4 Tm 3.38-3.56
7 Tm 0.8291 0.1709 0.5000  4 Hg 3.22, 4 Dy 3.28-3.47, 4 Tm 3.38-3.56
8 Tm 0.8291 0.6582 0.5000  4 Hg 3.22, 4 Dy 3.28-3.47, 4 Tm 3.38-3.56

## Properties
- formation energy (eV per atom) = -0.15
- ρ (Mg/m³) = 11.14
- electronic total energy (eV/cell) = -24.7
- crystal system = hexagonal
- relative energy among the computed polymorphs (meV/atom) = 123
- calculated volume (A^3/atom) = 26.7


Entry 2:
DyTm2Hg | PBE | relaxed

a b c (Å): 6.8076 6.8076 5.3715
angles (deg): 90.00 90.00 120.09
With the nearest neighbours (Å) after each atom.
Atoms (fractional coordinates):
1 Dy 0.6725 0.3275 0.2500  4 Hg 3.30-3.40, 8 Tm 3.31-3.50
2 Dy 0.3275 0.6725 0.7500  4 Hg 3.30-3.40, 8 Tm 3.31-3.50
3 Hg 0.1653 0.8347 0.2500  8 Tm 3.29-3.43, 4 Dy 3.30-3.40
4 Hg 0.8347 0.1653 0.7500  8 Tm 3.29-3.43, 4 Dy 3.30-3.40
5 Tm 0.1585 0.3280 0.2500  4 Hg 3.29-3.43, 4 Dy 3.31-3.50, 4 Tm 3.31-3.49
6 Tm 0.6720 0.8415 0.2500  4 Hg 3.29-3.43, 4 Dy 3.31-3.50, 4 Tm 3.31-3.49
7 Tm 0.3280 0.1585 0.7500  4 Hg 3.29-3.43, 4 Dy 3.31-3.50, 4 Tm 3.31-3.49
8 Tm 0.8415 0.6720 0.7500  4 Hg 3.29-3.43, 4 Dy 3.31-3.50, 4 Tm 3.31-3.49

## Properties
- formation energy (eV per atom) = -0.17
- ρ (Mg/m³) = 10.81
- electronic total energy (eV/cell) = -29.0
- crystal system = orthorhombic
- relative energy among the computed polymorphs (meV/atom) = 33
- calculated volume (A^3/atom) = 26.9


Entry 3:
DyYHg6 | PBE | relaxed

a b c (Å): 6.6000 6.6000 5.0043
angles (deg): 90.00 90.00 120.00
With the nearest neighbours (Å) after each atom.
Atoms (fractional coordinates):
1 Dy 0.0000 0.0000 0.5000  12 Hg 3.15-3.30
2 Hg 0.3336 0.1668 0.0000  8 Hg 3.14-3.30, 2 Dy 3.15, 2 Y 3.30
3 Hg 0.8332 0.1668 0.0000  8 Hg 3.14-3.30, 2 Dy 3.15, 2 Y 3.30
4 Hg 0.8332 0.6664 0.0000  8 Hg 3.14-3.30, 2 Dy 3.15, 2 Y 3.30
5 Hg 0.5003 0.0007 0.5000  8 Hg 3.14-3.31, 2 Y 3.15, 2 Dy 3.30
6 Hg 0.5003 0.4997 0.5000  8 Hg 3.14-3.31, 2 Y 3.15, 2 Dy 3.30
7 Hg 0.9993 0.4997 0.5000  8 Hg 3.14-3.31, 2 Y 3.15, 2 Dy 3.30
8 Y 0.3333 0.6667 0.0000  12 Hg 3.15-3.30

## Properties
- formation energy (eV per atom) = -0.35
- ρ (Mg/m³) = 12.80
- electronic total energy (eV/cell) = -15.7
- crystal system = hexagonal
- calculated volume (A^3/atom) = 23.6


Entry 4:
DyY4Hg5 | PBE | relaxed

a b c (Å): 3.7131 3.7131 18.5835
angles (deg): 90.00 90.00 90.00
With the nearest neighbours (Å) after each atom.
Atoms (fractional coordinates):
1 Dy 0.0000 0.0000 0.0000  8 Hg 3.21
2 Hg 0.5000 0.5000 0.0992  4 Dy 3.21, 4 Y 3.22
3 Hg 0.5000 0.5000 0.2999  8 Y 3.22
4 Hg 0.5000 0.5000 0.5000  8 Y 3.22
5 Hg 0.5000 0.5000 0.7001  8 Y 3.22
6 Hg 0.5000 0.5000 0.9008  4 Dy 3.21, 4 Y 3.22
7 Y 0.0000 0.0000 0.1996  8 Hg 3.22
8 Y 0.0000 0.0000 0.3999  8 Hg 3.22
9 Y 0.0000 0.0000 0.6001  8 Hg 3.22
10 Y 0.0000 0.0000 0.8004  8 Hg 3.22

## Properties
- formation energy (eV per atom) = -0.51
- ρ (Mg/m³) = 9.86
- electronic total energy (eV/cell) = -37.0
- crystal system = tetragonal
- calculated volume (A^3/atom) = 25.6


- Which of these has the highest ρ?
  DyYHg6